No. 1
Below is a geometry-optimized Ce2AlC2 structure, with properties calculated at the GGA-PBE level.

Summary:
Space group = I4/mmm
Energy of formation = -253.3 meV/atom
Density of states at the Fermi level = 3.70 states/eV/cell

```
Ce2AlC2
1.0
3.5960 0.0000 -0.9438
-0.2477 3.5874 -0.9438
-0.1242 -0.1331 6.8489
Al Ce C
1 2 2
Direct
0.0000 0.0000 0.0000 Al
0.3492 0.3492 0.6984 Ce
0.6508 0.6508 0.3016 Ce
0.8395 0.8395 0.6790 C
0.1605 0.1605 0.3210 C
```


No. 2
Below is a geometry-optimized NaBiOF2 structure, with properties calculated at the GGA-PBE level.

Summary:
Offset from the most stable computed form = 0.000 eV per atom
Space group = P4/mmm
Uncorrected formation energy = -1.855 eV per atom
Density of states at the Fermi level = 0.00 states/eV/cell

```
NaBiOF2
1.0
4.6535 0.0000 0.0000
0.0000 4.6535 0.0000
0.0000 0.0000 4.4931
F Bi Na O
2 1 1 1
Direct
0.0000 0.5000 0.0000 F
0.5000 0.0000 0.0000 F
0.0000 0.0000 0.0000 Bi
0.5000 0.5000 0.5000 Na
0.0000 0.0000 0.5000 O
```


No. 3
Below is a geometry-optimized Pr4Sm3Y2 structure, with properties calculated at the GGA-PBE level.

Summary:
Space group = P-1
Energy of formation = 13.4 meV/atom
Density of states at the Fermi level = 13.00 states/eV/cell

```
Pr4Sm3Y2
1.0
-6.2691 -0.7278 -0.4883
3.8775 -4.7418 -1.5924
1.5937 5.7732 11.7115
Y Pr Sm
2 4 3
Direct
0.7798 0.5588 0.3348 Y
0.2202 0.4412 0.6652 Y
0.8874 0.7755 0.6658 Pr
0.6672 0.3330 0.0000 Pr
0.1126 0.2245 0.3342 Pr
0.3328 0.6670 0.0000 Pr
0.5543 0.1099 0.6651 Sm
0.4457 0.8901 0.3349 Sm
0.0000 0.0000 0.0000 Sm
```


What is the formula in the third record? Pr4Sm3Y2